Below is HfTa2CrF after structural relaxation, with properties calculated at the PBE with a Hubbard U level.

The structure in POSCAR format:
```
HfTa2CrF
1.0
-3.8909 0.9795 1.5002
1.0593 -2.0653 4.0956
1.5103 3.7226 1.4866
Hf Ta Cr F
1 2 1 1
Cartesian
-0.6606 1.3184 3.5412
-1.9454 0.4897 0.7501
0.7552 1.8613 0.7433
0.5296 -1.0326 2.0478
0.0000 0.0000 0.0000
```

As for the raw total energy: -8.549 eV per atom. The space group is No. 123.